(1)
! Mn2MoSe (PBE, optimized geometry); values from VASP
&SYSTEM
  ibrav = 0, nat = 4, ntyp = 3
/
ATOMIC_SPECIES
Mn 54.94 Mn.upf
Mo 95.94 Mo.upf
Se 78.96 Se.upf
CELL_PARAMETERS angstrom
3.2134 0.0000 0.0000
0.0000 3.2134 0.0000
0.0000 0.0000 5.7097
ATOMIC_POSITIONS angstrom
Mn 0.0000 0.0000 0.0000
Mn 1.6067 1.6067 1.0742
Mo 0.0000 0.0000 2.7073
Se 1.6067 1.6067 4.0283
! DOS at the Fermi energy: 3.6 states/eV/f.u.
! total magnetization: 0.62 μB per formula unit
! energy relative to the elements, uncorrected: 0.131 eV/atom



(2)
! LaPt9Pb2 (PBE, optimized geometry); values from VASP
&SYSTEM
  ibrav = 0, nat = 12, ntyp = 3
/
ATOMIC_SPECIES
La 138.91 La.upf
Pt 195.08 Pt.upf
Pb 207.20 Pb.upf
CELL_PARAMETERS angstrom
2.7407 1.5823 8.8730
-2.7407 1.5823 8.8730
0.0000 -3.1646 8.8730
ATOMIC_POSITIONS angstrom
La 0.0000 0.0000 0.0000
Pt -1.3822 -0.7980 11.1055
Pt 0.0000 0.0000 8.8596
Pt 0.0000 -1.5961 15.5136
Pt -1.3822 0.7980 15.5136
Pt 0.0000 0.0000 13.3095
Pt 1.3822 -0.7980 11.1055
Pt 0.0000 1.5961 11.1055
Pt 0.0000 0.0000 17.7595
Pt 1.3822 0.7980 15.5136
Pb 0.0000 0.0000 3.6974
Pb 0.0000 0.0000 22.9216
! DFT formation energy: -0.468 eV/atom
! DOS at the Fermi energy: 6.3 states/eV/f.u.
! total magnetization: 0.00 μB per formula unit



(3)
! Pm3PdPb (PBE, optimized geometry); values from VASP
&SYSTEM
  ibrav = 0, nat = 15, ntyp = 3
/
ATOMIC_SPECIES
Pm 145.00 Pm.upf
Pd 106.42 Pd.upf
Pb 207.20 Pb.upf
CELL_PARAMETERS angstrom
7.4949 0.0000 0.0000
0.0000 7.4949 0.0000
0.0000 0.0000 7.4949
ATOMIC_POSITIONS angstrom
Pm 0.0000 0.0000 0.0000
Pm 2.0037 2.0037 2.0037
Pm 2.0037 2.0037 5.4912
Pm 2.0037 5.4912 2.0037
Pm 2.0037 5.4912 5.4912
Pm 5.4912 2.0037 2.0037
Pm 5.4912 2.0037 5.4912
Pm 5.4912 5.4912 2.0037
Pm 5.4912 5.4912 5.4912
Pd 0.0000 3.7474 3.7474
Pd 3.7474 0.0000 3.7474
Pd 3.7474 3.7474 0.0000
Pb 0.0000 0.0000 3.7474
Pb 0.0000 3.7474 0.0000
Pb 3.7474 0.0000 0.0000
! DFT formation energy: -0.444 eV/atom
! DOS at the Fermi energy: 4.8 states/eV/f.u.
! total magnetization: 0.32 μB per formula unit



(4)
! MnCu (PBE, optimized geometry); values from VASP
&SYSTEM
  ibrav = 0, nat = 16, ntyp = 2
/
ATOMIC_SPECIES
Mn 54.94 Mn.upf
Cu 63.55 Cu.upf
CELL_PARAMETERS angstrom
7.6086 0.0000 0.0000
0.0000 7.6086 0.0000
0.0000 0.0000 7.6086
ATOMIC_POSITIONS angstrom
Mn 0.9537 0.9537 0.9537
Mn 0.9537 6.6550 6.6550
Mn 2.8507 2.8507 4.7580
Mn 2.8507 4.7580 2.8507
Mn 4.7580 2.8507 2.8507
Mn 4.7580 4.7580 4.7580
Mn 6.6550 0.9537 6.6550
Mn 6.6550 6.6550 0.9537
Cu 1.4340 1.4340 6.1747
Cu 1.4340 6.1747 1.4340
Cu 2.3703 2.3703 2.3703
Cu 2.3703 5.2383 5.2383
Cu 5.2383 2.3703 5.2383
Cu 5.2383 5.2383 2.3703
Cu 6.1747 1.4340 1.4340
Cu 6.1747 6.1747 6.1747
! DFT formation energy: 1.266 eV/atom
! DOS at the Fermi energy: 1.3 states/eV/f.u.
! total magnetization: 4.11 μB per formula unit



(5)
! ReSeBr2 (PBE, optimized geometry); values from VASP
&SYSTEM
  ibrav = 0, nat = 16, ntyp = 3
/
ATOMIC_SPECIES
Re 186.21 Re.upf
Se 78.96 Se.upf
Br 79.90 Br.upf
CELL_PARAMETERS angstrom
6.8319 0.0000 0.0000
0.0000 6.8319 0.0000
0.0000 0.0000 6.8319
ATOMIC_POSITIONS angstrom
Re 0.0000 0.0000 0.0000
Re 0.0000 3.4159 3.4159
Re 3.4159 0.0000 3.4159
Re 3.4159 3.4159 0.0000
Se 1.7080 1.7080 1.7080
Se 1.7080 5.1239 5.1239
Se 5.1239 1.7080 5.1239
Se 5.1239 5.1239 1.7080
Br 0.0000 0.0000 3.4159
Br 0.0000 3.4159 0.0000
Br 1.7080 1.7080 5.1239
Br 1.7080 5.1239 1.7080
Br 3.4159 0.0000 0.0000
Br 3.4159 3.4159 3.4159
Br 5.1239 1.7080 1.7080
Br 5.1239 5.1239 5.1239
! polymorph energy (0 for the lowest one): 1.0918 eV/atom
! DOS at the Fermi energy: 2.3 states/eV/f.u.
! total magnetization: 2.27 μB per formula unit
! energy relative to the elements, uncorrected: 1.135 eV/atom



(6)
! TaMnAl2 (PBE, optimized geometry); values from VASP
&SYSTEM
  ibrav = 0, nat = 12, ntyp = 3
/
ATOMIC_SPECIES
Ta 180.95 Ta.upf
Mn 54.94 Mn.upf
Al 26.98 Al.upf
CELL_PARAMETERS angstrom
2.8432 0.0000 0.0000
-1.4216 2.4623 0.0000
0.0000 0.0000 26.9388
ATOMIC_POSITIONS angstrom
Ta 0.0000 0.0000 0.0000
Ta 0.0000 1.6415 17.9592
Ta 1.4216 0.8208 8.9796
Mn 0.0000 0.0000 13.4694
Mn 0.0000 1.6415 4.4898
Mn 1.4216 0.8208 22.4490
Al 0.0000 0.0000 6.5698
Al 0.0000 0.0000 20.3690
Al 0.0000 1.6415 11.3894
Al 0.0000 1.6415 24.5290
Al 1.4216 0.8208 2.4098
Al 1.4216 0.8208 15.5494
! polymorph energy (0 for the lowest one): 0.1735 eV/atom
! DFT formation energy: -0.042 eV/atom
! DOS at the Fermi energy: 3.1 states/eV/f.u.
! total magnetization: 2.72 μB per formula unit



(7)
! La2ReMoCl (PBE, optimized geometry); values from VASP
&SYSTEM
  ibrav = 0, nat = 5, ntyp = 4
/
ATOMIC_SPECIES
La 138.91 La.upf
Re 186.21 Re.upf
Mo 95.94 Mo.upf
Cl 35.45 Cl.upf
CELL_PARAMETERS angstrom
5.5563 0.0000 0.0000
0.0000 5.5563 0.0000
0.0000 0.0000 4.5221
ATOMIC_POSITIONS angstrom
La 0.0000 2.7782 0.0000
La 2.7782 0.0000 0.0000
Re 0.0000 0.0000 2.2610
Mo 2.7782 2.7782 0.0000
Cl 2.7782 2.7782 2.2610
! DOS at the Fermi energy: 5.8 states/eV/f.u.
! total magnetization: 2.52 μB per formula unit
! energy relative to the elements, uncorrected: 0.961 eV/atom



(8)
! FeSi (PBE, optimized geometry); values from VASP
&SYSTEM
  ibrav = 0, nat = 4, ntyp = 2
/
ATOMIC_SPECIES
Fe 55.84 Fe.upf
Si 28.09 Si.upf
CELL_PARAMETERS angstrom
2.6550 0.0000 0.0000
-1.3275 2.2993 0.0000
0.0000 0.0000 7.5937
ATOMIC_POSITIONS angstrom
Fe 0.0000 1.5329 0.9414
Fe 1.3275 0.7664 6.6523
Si 0.0000 1.5329 4.8646
Si 1.3275 0.7664 2.7291
! DOS at the Fermi energy: 1.6 states/eV/f.u.
! total magnetization: 0.00 μB per formula unit
! energy relative to the elements, uncorrected: 0.127 eV/atom



(9)
! Ce2SbF2 (PBE, optimized geometry); values from VASP
&SYSTEM
  ibrav = 0, nat = 5, ntyp = 3
/
ATOMIC_SPECIES
Ce 140.12 Ce.upf
Sb 121.76 Sb.upf
F 19.00 F.upf
CELL_PARAMETERS angstrom
0.0000 2.8582 6.5765
2.8521 0.0000 6.5765
2.8521 2.8582 0.0000
ATOMIC_POSITIONS angstrom
Ce 2.8521 2.8582 1.7148
Ce 2.8521 2.8582 11.4383
Sb 2.8521 2.8582 6.5765
F 1.4260 1.4291 3.2883
F 4.2781 4.2874 9.8648
! polymorph energy (0 for the lowest one): 0.0000 eV/atom
! DOS at the Fermi energy: 14.1 states/eV/f.u.
! total magnetization: 2.94 μB per formula unit
! energy relative to the elements, uncorrected: -2.484 eV/atom



(10)
! Pr2AlZn3 (PBE, optimized geometry); values from VASP
&SYSTEM
  ibrav = 0, nat = 12, ntyp = 3
/
ATOMIC_SPECIES
Pr 140.91 Pr.upf
Al 26.98 Al.upf
Zn 65.41 Zn.upf
CELL_PARAMETERS angstrom
0.0000 4.5762 7.8913
3.8126 0.0000 7.8913
3.8126 4.5762 0.0000
ATOMIC_POSITIONS angstrom
Pr 5.8109 4.5762 7.8913
Pr 1.9063 2.2881 3.9456
Pr 5.7189 6.8644 11.8369
Pr 1.8142 4.5762 7.8913
Al 3.8126 4.5762 5.2959
Al 3.8126 4.5762 10.4866
Zn 3.8126 4.5762 2.6520
Zn 3.8126 2.3202 6.5838
Zn 3.8126 2.3202 9.1987
Zn 3.8126 6.8322 6.5838
Zn 3.8126 6.8322 9.1987
Zn 3.8126 4.5762 13.1306
! polymorph energy (0 for the lowest one): 0.0000 eV/atom
! DFT formation energy: -0.371 eV/atom
! DOS at the Fermi energy: 6.0 states/eV/f.u.
! total magnetization: 0.00 μB per formula unit



(11)
! AlRh2Pb (PBE, optimized geometry); values from VASP
&SYSTEM
  ibrav = 0, nat = 8, ntyp = 3
/
ATOMIC_SPECIES
Al 26.98 Al.upf
Rh 102.91 Rh.upf
Pb 207.20 Pb.upf
CELL_PARAMETERS angstrom
9.7966 0.0000 0.0000
0.0000 3.1401 0.0000
-1.1003 0.0000 4.3763
ATOMIC_POSITIONS angstrom
Al 0.0000 0.0000 0.0000
Al 4.8983 1.5700 0.0000
Rh -0.5498 1.5700 2.3111
Rh 1.7225 0.0000 4.0158
Rh 4.3485 0.0000 2.3111
Rh 6.6209 1.5700 4.0158
Pb 2.0806 1.5700 1.7601
Pb 6.9789 0.0000 1.7601
! DFT formation energy: -0.300 eV/atom
! DOS at the Fermi energy: 1.7 states/eV/f.u.
! total magnetization: 0.00 μB per formula unit



(12)
! V3Mo8W (PBE, optimized geometry); values from VASP
&SYSTEM
  ibrav = 0, nat = 12, ntyp = 3
/
ATOMIC_SPECIES
V 50.94 V.upf
Mo 95.94 Mo.upf
W 183.84 W.upf
CELL_PARAMETERS angstrom
-2.9800 2.9800 5.9848
2.9800 -2.9800 5.9848
2.9800 2.9800 -5.9848
ATOMIC_POSITIONS angstrom
V 0.0000 0.0000 0.0000
V 2.9800 0.0000 2.9924
V 0.0000 2.9800 2.9924
Mo 1.4504 1.4504 -1.5299
Mo 1.5295 -1.5295 4.4550
Mo 1.4504 1.4504 1.5299
Mo 1.5295 -1.5295 7.5147
Mo -1.5295 1.5295 4.4550
Mo 1.5295 1.5295 4.4550
Mo -1.5295 1.5295 7.5147
Mo 1.5295 1.5295 7.5147
W 0.0000 0.0000 5.9848
! DFT formation energy: 0.834 eV/atom
! DOS at the Fermi energy: 14.7 states/eV/f.u.
! total magnetization: 0.00 μB per formula unit



Number 1: energy -8.03 eV/atom. Number 2: energy -6.03 eV/atom. Number 3: energy -5.07 eV/atom. Number 4: energy -5.37 eV/atom. Number 5: energy -3.68 eV/atom. Number 6: energy -7.17 eV/atom. Number 7: energy -6.03 eV/atom. Number 8: energy -6.82 eV/atom. Number 9: energy -6.43 eV/atom. Number 10: energy -3.22 eV/atom. Number 11: energy -5.84 eV/atom. Number 12: energy -9.75 eV/atom.